1.
Ba2CdAg after structural relaxation, computed with PBE-GGA.

abc: 9.4165 5.9541 4.1553
angles: 89.99 63.82 129.55
Fractional coordinates of all 4 atoms:
Ba 0.0000 0.0000 0.0000
Ba 0.5000 0.0000 0.5000
Ag 0.5000 0.5000 0.0000
Cd 0.0000 0.5000 0.5000

ΔH_f (0 K) in eV per atom: -0.26
Calculated volume in Å³/cell: 147
Space group: No. 65
DFT total energy in eV per atom: -2.167
M_tot in Bohr magnetons per cell: 0.00
Fermi-level density of states in states/eV per cell: 4.09

---

2.
BaCd12Ag6 after structural relaxation, computed with PBE-GGA.

abc: 7.9743 7.9743 7.9743
angles: 104.54 104.54 104.54
Fractional coordinates of all 19 atoms:
Ba 0.0000 0.0000 0.0000
Cd 0.8864 0.1136 0.5000
Cd 0.8613 0.6025 0.6025
Cd 0.6025 0.6025 0.8613
Cd 0.3975 0.1387 0.3975
Cd 0.3975 0.3975 0.1387
Cd 0.1387 0.3975 0.3975
Cd 0.1136 0.5000 0.8864
Cd 0.5000 0.8864 0.1136
Cd 0.1136 0.8864 0.5000
Cd 0.8864 0.5000 0.1136
Cd 0.5000 0.1136 0.8864
Cd 0.6025 0.8613 0.6025
Ag 0.7030 0.2803 0.2803
Ag 0.2803 0.2803 0.7030
Ag 0.2803 0.7030 0.2803
Ag 0.7197 0.7197 0.2970
Ag 0.2970 0.7197 0.7197
Ag 0.7197 0.2970 0.7197

ΔH_f (0 K) in eV per atom: -0.07
Calculated volume in Å³/cell: 448
Space group: No. 166
DFT total energy in eV per atom: -1.648
M_tot in Bohr magnetons per cell: 0.00
Fermi-level density of states in states/eV per cell: 4.40

---

3.
Ba6CdAg after structural relaxation, computed with PBE-GGA.

abc: 6.0489 6.0488 11.7518
angles: 75.09 75.09 89.99
Fractional coordinates of all 8 atoms:
Ba 0.7487 0.7487 0.5026
Ba 0.5900 0.0901 0.8197
Ba 0.0901 0.5900 0.8197
Ba 0.4100 0.9099 0.1803
Ba 0.2513 0.2513 0.4974
Ba 0.9099 0.4100 0.1803
Cd 0.5000 0.5000 0.0000
Ag 0.0000 0.0000 0.0000

ΔH_f (0 K) in eV per atom: -0.13
Calculated volume in Å³/cell: 401
Space group: No. 139
DFT total energy in eV per atom: -2.045
M_tot in Bohr magnetons per cell: 0.00
Fermi-level density of states in states/eV per cell: 9.22